# 1
VASP calculation (GGA-PBEsol) on a relaxed structure of Tb10Si3Sb3.

Geometry as POSCAR:
```
Tb10Si3Sb3
1.0
6.274 0.000 0.000
0.000 8.654 0.000
0.000 -4.327 7.494
Tb Sb Si
10 3 3
Direct
0.500 0.244 0.000
0.740 0.333 0.667
0.000 0.758 0.000
0.000 0.000 0.758
0.500 0.000 0.244
0.000 0.242 0.242
0.260 0.667 0.333
0.260 0.333 0.667
0.740 0.667 0.333
0.500 0.756 0.756
0.000 0.000 0.395
0.000 0.605 0.605
0.000 0.395 0.000
0.500 0.000 0.610
0.500 0.610 0.000
0.500 0.390 0.390
```

Computed properties:
- density of states at the Fermi level (states/eV/f.u.) = 11.49
- ΔE_f (raw) (eV per formula unit) = -13.33



# 2
VASP calculation (GGA-PBEsol) on a relaxed structure of SiTcSb.

Geometry as POSCAR:
```
SiTcSb
1.0
-2.661 1.242 0.506
1.054 -1.545 2.320
3.737 5.520 0.829
Si Sb Tc
1 1 1
Direct
0.311 0.311 0.622
0.010 0.010 0.019
0.679 0.679 0.359
```

Computed properties:
- density of states at the Fermi level (states/eV/f.u.) = 2.07
- polymorph energy (0 for the lowest one) (eV/atom) = 0.2761
- ΔE_f (raw) (eV per formula unit) = 1.00



# 3
VASP calculation (GGA-PBEsol) on a relaxed structure of SiTc2Sb.

Geometry as POSCAR:
```
SiTc2Sb
1.0
2.981 0.011 0.017
-1.361 4.820 -0.007
-1.361 -1.972 4.398
Tc Sb Si
2 1 1
Direct
0.000 0.500 0.000
0.000 0.000 0.500
0.500 0.000 0.000
0.500 0.500 0.500
```

Computed properties:
- density of states at the Fermi level (states/eV/f.u.) = 3.34
- polymorph energy (0 for the lowest one) (eV/atom) = 0.3467
- ΔE_f (raw) (eV per formula unit) = 1.26



# 4
VASP calculation (GGA-PBEsol) on a relaxed structure of SiTc2Sb.

Geometry as POSCAR:
```
SiTc2Sb
1.0
-1.623 -0.260 2.543
0.040 -4.422 -0.426
3.849 -0.200 2.436
Si Sb Tc
1 1 2
Direct
0.500 0.744 0.500
0.000 0.525 0.000
0.000 0.218 0.500
0.500 0.013 0.000
```

Computed properties:
- density of states at the Fermi level (states/eV/f.u.) = 2.84
- polymorph energy (0 for the lowest one) (eV/atom) = 0.0222
- ΔE_f (raw) (eV per formula unit) = -0.04



# 5
VASP calculation (GGA-PBEsol) on a relaxed structure of SiTcSb4.

Geometry as POSCAR:
```
SiTcSb4
1.0
5.970 0.000 0.000
2.985 5.170 0.000
2.985 1.723 4.875
Sb Si Tc
4 1 1
Direct
0.625 0.125 0.625
0.125 0.625 0.625
0.625 0.625 0.125
0.625 0.625 0.625
0.250 0.250 0.250
0.000 0.000 0.000
```

Computed properties:
- density of states at the Fermi level (states/eV/f.u.) = 3.88
- ΔE_f (raw) (eV per formula unit) = 6.94



# 6
VASP calculation (GGA-PBEsol) on a relaxed structure of SiTcSb.

Geometry as POSCAR:
```
SiTcSb
1.0
-2.679 -1.302 -0.847
1.482 -1.638 -2.171
1.442 -2.672 5.210
Sb Si Tc
1 1 1
Direct
0.976 0.976 0.951
0.710 0.710 0.420
0.314 0.314 0.629
```

Computed properties:
- density of states at the Fermi level (states/eV/f.u.) = 1.23
- polymorph energy (0 for the lowest one) (eV/atom) = 0.0000
- ΔE_f (raw) (eV per formula unit) = 0.17



# 7
VASP calculation (GGA-PBEsol) on a relaxed structure of SiTc2Sb.

Geometry as POSCAR:
```
SiTc2Sb
1.0
-0.778 2.061 2.375
-0.196 -2.473 2.083
5.736 0.652 1.313
Tc Sb Si
2 1 1
Direct
0.500 0.500 0.266
0.000 0.000 0.945
0.000 0.000 0.486
0.500 0.500 0.803
```

Computed properties:
- density of states at the Fermi level (states/eV/f.u.) = 3.53
- polymorph energy (0 for the lowest one) (eV/atom) = 0.0000
- ΔE_f (raw) (eV per formula unit) = -0.13



# 8
VASP calculation (GGA-PBEsol) on a relaxed structure of Si4TcSb.

Geometry as POSCAR:
```
Si4TcSb
1.0
5.090 0.000 0.000
2.545 4.408 0.000
2.545 1.469 4.156
Sb Tc Si
1 1 4
Direct
0.000 0.000 0.000
0.750 0.750 0.750
0.375 0.375 0.375
0.375 0.874 0.375
0.874 0.375 0.375
0.375 0.375 0.874
```

Computed properties:
- density of states at the Fermi level (states/eV/f.u.) = 5.29
- ΔE_f (raw) (eV per formula unit) = 3.48